1.
Below is a relaxed CsH2Pd3 crystal, with properties calculated at the GGA-PBE level.

Properties
* SG: C2/m
* spin magnetization: 0.00 μB/cell
* uncorrected energy: -3.879 eV per atom
* N(E_F): 0.456 states/eV per atom

```
CsH2Pd3
1.0
-0.616 1.011 3.278
-3.406 -6.021 -0.636
8.134 -2.009 2.149
Pd H Cs
6 4 2
direct
0.722 0.444 0.372
0.612 0.224 0.637
0.943 0.886 0.628
0.388 0.776 0.363
0.278 0.556 0.628
0.057 0.114 0.372
0.835 0.669 0.305
0.487 0.974 0.697
0.513 0.026 0.303
0.165 0.331 0.695
0.136 0.272 0.031
0.864 0.728 0.969
```

=====

2.
Below is a relaxed CsH2Pd2 crystal, with properties calculated at the GGA-PBE level.

Properties
* offset from the most stable computed form: 79 meV per atom
* SG: I4_1/amd
* spin magnetization: 0.00 μB/cell
* N(E_F): 0.214 states/eV per atom

```
CsH2Pd2
1.0
-4.449 -4.118 0.043
4.104 -4.439 -0.444
0.428 4.051 4.847
Pd Cs H
4 2 4
direct
0.625 0.375 0.250
0.125 0.375 0.750
0.625 0.375 0.750
0.625 0.875 0.250
0.250 0.750 0.500
0.000 0.000 0.000
0.543 0.043 0.086
0.293 0.293 0.586
0.707 0.707 0.414
0.957 0.457 0.914
```